5
Lattice="5.000 0.000 0.000 0.000 5.000 0.000 0.000 0.000 4.477" Properties=species:S:1:pos:R:3 comment="TaCrSn2H (PBE, optimized geometry)" magmom_total_mub_per_atom=0.03 spacegroup=P4/mmm final_energy_ev_per_cell=-27.80 pbc="T T T"
Ta 0.000 0.000 0.000
Cr 0.000 0.000 2.238
Sn 0.000 2.500 2.238
Sn 2.500 0.000 2.238
H 2.500 2.500 0.000


11
Lattice="9.024 -2.570 0.000 9.024 2.570 0.000 -3.013 0.000 7.443" Properties=species:S:1:pos:R:3 comment="Pr8MgZn2 (PBE, optimized geometry)" magmom_total_mub_per_atom=0.00 spacegroup=C2/m delta_e_f_ev_per_atom=-0.08 final_energy_ev_per_cell=-43.27 pbc="T T T"
Pr -0.033 0.000 1.866
Pr 0.977 0.000 5.824
Pr 4.205 0.000 3.977
Pr 7.237 0.000 0.245
Pr 7.799 0.000 7.199
Pr 10.831 0.000 3.467
Pr 14.059 0.000 1.620
Pr 15.069 0.000 5.577
Mg 7.518 0.000 3.722
Zn 2.970 0.000 1.252
Zn 12.066 0.000 6.191


16
Lattice="4.353 0.000 0.000 0.000 4.353 0.000 0.000 0.000 14.443" Properties=species:S:1:pos:R:3 comment="MnCo2Bi (PBE, optimized geometry)" magmom_total_mub_per_atom=0.00 spacegroup=I-42d delta_e_f_ev_per_atom=0.85 final_energy_ev_per_cell=-95.50 pbc="T T T"
Mn 0.000 0.000 0.000
Mn 0.000 2.176 3.611
Mn 2.176 0.000 10.833
Mn 2.176 2.176 7.222
Co 0.560 1.088 1.805
Co 1.088 2.737 5.416
Co 1.088 3.792 12.638
Co 1.616 1.088 9.027
Co 2.737 3.265 9.027
Co 3.265 0.560 12.638
Co 3.265 1.616 5.416
Co 3.792 3.265 1.805
Bi 0.000 0.000 7.222
Bi 0.000 2.176 10.833
Bi 2.176 0.000 3.611
Bi 2.176 2.176 0.000